1.
The following is a SCAN calculation of a crystal of RbCu2SiCl relaxed with PBEsol, from Alexandria via LeMat-Bulk.

Volume ... 118 Å³ per cell
Symmetry ... No. 123
Energy relative to the elements, uncorrected ... 0.8150 eV/atom
Electronic total energy ... -13.0113 eV/atom

Cell: 4.559 4.559 5.691 Å, 90.00 90.00 90.00°
Fractional coordinates of all 5 atoms:
Rb1 0.000 0.000 0.000
Cu1 0.000 0.500 0.500
Cu2 0.500 0.000 0.500
Si1 0.500 0.500 0.000
Cl1 0.000 0.000 0.500

2.
The following is a SCAN calculation of a crystal of Rb2SmCuCl6 relaxed with PBEsol, from Alexandria via LeMat-Bulk.

Volume ... 270 Å³ per cell
Symmetry ... No. 225
Energy relative to the elements, uncorrected ... -1.9878 eV/atom
Electronic total energy ... -16.8865 eV/atom

Cell: 7.257 7.257 7.257 Å, 60.00 60.00 60.00°
Fractional coordinates of all 10 atoms:
Rb1 0.250 0.250 0.250
Rb2 0.750 0.750 0.750
Sm1 0.000 0.000 0.000
Cu1 0.500 0.500 0.500
Cl1 0.259 0.259 0.741
Cl2 0.259 0.741 0.259
Cl3 0.259 0.741 0.741
Cl4 0.741 0.259 0.259
Cl5 0.741 0.259 0.741
Cl6 0.741 0.741 0.259

3.
The following is a SCAN calculation of a crystal of CuRe2Cl relaxed with PBEsol, from Alexandria via LeMat-Bulk.

Volume ... 53 Å³ per cell
Symmetry ... No. 123
Energy relative to the elements, uncorrected ... 1.3615 eV/atom
Electronic total energy ... -39.9816 eV/atom

Cell: 4.315 4.315 2.860 Å, 90.00 90.00 90.00°
Fractional coordinates of all 4 atoms:
Cu1 0.000 0.000 0.000
Re1 0.000 0.500 0.500
Re2 0.500 0.000 0.500
Cl1 0.500 0.500 0.000

4.
The following is a SCAN calculation of a crystal of CuReCl2 relaxed with PBEsol, from Alexandria via LeMat-Bulk.

Volume ... 56 Å³ per cell
Symmetry ... No. 139
Energy relative to the elements, uncorrected ... 1.1327 eV/atom
Electronic total energy ... -24.4304 eV/atom

Cell: 4.314 4.314 4.314 Å, 120.70 120.70 88.79°
Fractional coordinates of all 4 atoms:
Cu1 0.000 0.000 0.000
Re1 0.500 0.500 0.000
Cl1 0.250 0.750 0.500
Cl2 0.750 0.250 0.500

5.
The following is a SCAN calculation of a crystal of CuRe2Cl relaxed with PBEsol, from Alexandria via LeMat-Bulk.

Volume ... 58 Å³ per cell
Symmetry ... No. 47
Energy relative to the elements, uncorrected ... 1.0484 eV/atom
Electronic total energy ... -40.2946 eV/atom

Cell: 2.701 4.531 4.744 Å, 90.00 90.00 90.00°
Fractional coordinates of all 4 atoms:
Cu1 0.000 0.000 0.000
Re1 0.000 0.500 0.500
Re2 0.500 0.500 0.000
Cl1 0.500 0.000 0.500

6.
The following is a SCAN calculation of a crystal of CuReCl2 relaxed with PBEsol, from Alexandria via LeMat-Bulk.

Volume ... 79 Å³ per cell
Symmetry ... No. 71
Energy relative to the elements, uncorrected ... 0.1951 eV/atom
Electronic total energy ... -25.3681 eV/atom

Cell: 6.819 6.819 6.819 Å, 155.99 142.18 45.29°
Fractional coordinates of all 4 atoms:
Cu1 0.000 0.000 0.000
Re1 0.500 0.500 0.000
Cl1 0.348 0.848 0.500
Cl2 0.652 0.152 0.500

7.
The following is a SCAN calculation of a crystal of CuReCl2 relaxed with PBEsol, from Alexandria via LeMat-Bulk.

Volume ... 67 Å³ per cell
Symmetry ... No. 44
Energy relative to the elements, uncorrected ... 0.6525 eV/atom
Electronic total energy ... -24.9106 eV/atom

Cell: 6.107 6.107 6.107 Å, 153.32 139.03 49.56°
Fractional coordinates of all 4 atoms:
Cu1 0.000 0.000 0.000
Re1 0.193 0.693 0.500
Cl1 0.378 0.378 0.000
Cl2 0.677 0.177 0.500

8.
The following is a SCAN calculation of a crystal of CuReCl3 relaxed with PBEsol, from Alexandria via LeMat-Bulk.

Volume ... 104 Å³ per cell
Symmetry ... No. 221
Energy relative to the elements, uncorrected ... 0.5141 eV/atom
Electronic total energy ... -21.5320 eV/atom

Cell: 4.706 4.706 4.706 Å, 90.00 90.00 90.00°
Fractional coordinates of all 5 atoms:
Cu1 0.000 0.000 0.000
Re1 0.500 0.500 0.500
Cl1 0.000 0.500 0.500
Cl2 0.500 0.000 0.500
Cl3 0.500 0.500 0.000

9.
The following is a SCAN calculation of a crystal of CuRe2Cl relaxed with PBEsol, from Alexandria via LeMat-Bulk.

Volume ... 61 Å³ per cell
Symmetry ... No. 10
Energy relative to the elements, uncorrected ... 0.9146 eV/atom
Electronic total energy ... -40.4285 eV/atom

Cell: 2.969 4.420 4.687 Å, 90.00 96.41 90.00°
Fractional coordinates of all 4 atoms:
Cu1 0.000 0.000 0.000
Re1 0.321 0.500 0.213
Re2 0.679 0.500 0.787
Cl1 0.500 0.000 0.500

10.
The following is a SCAN calculation of a crystal of CuReS2Cl relaxed with PBEsol, from Alexandria via LeMat-Bulk.

Volume ... 89 Å³ per cell
Symmetry ... No. 123
Energy relative to the elements, uncorrected ... 1.1154 eV/atom
Electronic total energy ... -21.5908 eV/atom

Cell: 4.545 4.545 4.331 Å, 90.00 90.00 90.00°
Fractional coordinates of all 5 atoms:
Cu1 0.000 0.000 0.000
Re1 0.500 0.500 0.500
S1 0.000 0.500 0.000
S2 0.500 0.000 0.000
Cl1 0.000 0.000 0.500

11.
The following is a SCAN calculation of a crystal of CuReSCl2 relaxed with PBEsol, from Alexandria via LeMat-Bulk.

Volume ... 96 Å³ per cell
Symmetry ... No. 123
Energy relative to the elements, uncorrected ... 0.8679 eV/atom
Electronic total energy ... -21.5082 eV/atom

Cell: 4.410 4.410 4.913 Å, 90.00 90.00 90.00°
Fractional coordinates of all 5 atoms:
Cu1 0.000 0.000 0.000
Re1 0.500 0.500 0.500
S1 0.000 0.000 0.500
Cl1 0.000 0.500 0.000
Cl2 0.500 0.000 0.000

12.
The following is a SCAN calculation of a crystal of CuRhCl relaxed with PBEsol, from Alexandria via LeMat-Bulk.

Volume ... 48 Å³ per cell
Symmetry ... No. 216
Energy relative to the elements, uncorrected ... 0.5589 eV/atom
Electronic total energy ... -18.4240 eV/atom

Cell: 4.091 4.091 4.091 Å, 60.00 60.00 60.00°
Fractional coordinates of all 3 atoms:
Cu1 0.000 0.000 0.000
Rh1 0.250 0.250 0.250
Cl1 0.500 0.500 0.500